DFT (PBE-GGA) results for Pa3Bi4Rh after structural relaxation.

It has space group Pmmn (No. 59, origin choice 2), with a = 5.723 Å, b = 11.520 Å, c = 6.509 Å, α = 90.00°, β = 90.00° and γ = 90.00°. The inequivalent atoms are Pa at (0.250, 0.003, 0.095), Pa at (0.250, 0.250, 0.933), Bi at (0.250, 0.047, 0.599), Bi at (0.250, 0.750, 0.308), Bi at (0.250, 0.750, 0.794) and Rh at (0.250, 0.250, 0.314).

The energy relative to the elements comes out at -0.06 eV/atom.

---

DFT (PBE-GGA) results for PaBiRh4S8 after structural relaxation.

It has space group R3m (No. 160, hexagonal axes), with a = 7.5230 Å, b = 7.5230 Å, c = 17.4439 Å, α = 90.00°, β = 90.00° and γ = 120.00°. The inequivalent atoms are Pa at (0.0000, 0.0000, 0.0000), Bi at (0.0000, 0.0000, 0.4004), Rh at (0.0000, 0.0000, 0.6441), Rh at (0.0098, 0.5049, 0.5190), S at (0.0000, 0.0000, 0.2497), S at (0.0000, 0.0000, 0.7782), S at (0.0026, 0.5013, 0.2531) and S at (0.0506, 0.5253, 0.7819).

Its uncorrected formation energy is -0.582 eV per atom.

---

DFT (PBE-GGA) results for Pa2BiRu after structural relaxation.

It has space group Cmmm (No. 65), with a = 4.369 Å, b = 5.014 Å, c = 8.645 Å, α = 90.00°, β = 90.00° and γ = 90.00°. The inequivalent atoms are Pa at (0.000, 0.000, 0.211), Bi at (0.000, 0.500, 0.500) and Ru at (0.000, 0.500, 0.000).

The energy relative to the elements comes out at -0.26 eV/atom. The value obtained for the polymorph energy (0 for the lowest one) is 0.0 meV per atom.

---

DFT (PBE-GGA) results for PaBiRu2 after structural relaxation.

It has space group R-3m (No. 166, hexagonal axes), with a = 4.4444 Å, b = 4.4444 Å, c = 19.1946 Å, α = 90.00°, β = 90.00° and γ = 120.00°. The inequivalent atoms are Pa at (0.0000, 0.0000, 0.0000), Bi at (0.0000, 0.0000, 0.5000) and Ru at (0.0000, 0.0000, 0.3646).

The energy relative to the elements comes out at 0.09 eV/atom. The value obtained for the polymorph energy (0 for the lowest one) is 220.1 meV per atom.

---

For the records above, the corresponding DOS at the Fermi energy values read 10.529; 1.835; 7.757; 2.946 states/eV/f.u..
For the records above, the corresponding E values read -6.479; -5.996; -8.294; -7.895 eV per atom.